(1)
The following is a PBE-GGA calculation of a geometry-optimized La15Y2Mg2 structure, from Alexandria.

Computed properties:
The calculation puts the formation energy at 466.2 kJ/mol of formula units. For the electronic total energy, the calculation gives -4.48 eV per atom.

abc: 9.003 9.003 9.003
angles: 75.87 75.87 75.87
Sites, in units of the cell vectors:
1 Y 0.912 0.912 0.912
2 Y 0.088 0.088 0.088
3 La 0.600 0.600 0.176
4 La 0.176 0.600 0.600
5 La 0.000 0.500 0.000
6 La 0.701 0.299 0.000
7 La 0.299 0.000 0.701
8 La 0.600 0.176 0.600
9 La 0.400 0.400 0.824
10 La 0.824 0.400 0.400
11 La 0.000 0.000 0.500
12 La 0.500 0.000 0.000
13 La 0.400 0.824 0.400
14 La 0.000 0.701 0.299
15 La 0.000 0.299 0.701
16 La 0.299 0.701 0.000
17 La 0.701 0.000 0.299
18 Mg 0.292 0.292 0.292
19 Mg 0.708 0.708 0.708

=====

(2)
The following is a PBE-GGA calculation of a geometry-optimized NaGaS2N structure, from Alexandria.

Computed properties:
The uncorrected formation energy comes out at 1.2243 eV per atom. For the electronic total energy, the calculation gives -2.96 eV per atom.

abc: 5.178 5.178 4.518
angles: 90.00 90.00 90.00
Site moments in Bohr magnetons follow the coordinates.
Sites, in units of the cell vectors:
1 S 0.500 0.000 0.000  0.74
2 S 0.000 0.500 0.000  0.74
3 N 0.000 0.000 0.500  1.73
4 Ga 0.500 0.500 0.500  0.07
5 Na 0.000 0.000 0.000  0.01

=====

(3)
The following is a PBE-GGA calculation of a geometry-optimized LiPa2Pt structure, from Alexandria.

Computed properties:
The calculation puts the formation energy at -94.9 kJ/mol of formula units. For the electronic total energy, the calculation gives -6.98 eV per atom.

abc: 4.318 4.330 4.330
angles: 90.00 90.00 90.00
Sites, in units of the cell vectors:
1 Pa 0.000 0.500 0.000
2 Pa 0.000 0.000 0.500
3 Li 0.500 0.500 0.500
4 Pt 0.500 0.000 0.000

=====

(4)
The following is a PBE-GGA calculation of a geometry-optimized PmAgGeRh structure, from Alexandria.

Computed properties:
The calculation puts the formation energy at -128.9 kJ/mol of formula units. For the electronic total energy, the calculation gives -5.23 eV per atom.

abc: 4.788 4.788 4.788
angles: 60.00 60.00 60.00
Sites, in units of the cell vectors:
1 Ge 0.000 0.000 0.000
2 Ag 0.500 0.500 0.500
3 Rh 0.250 0.250 0.250
4 Pm 0.750 0.750 0.750

=====

(5)
The following is a PBE-GGA calculation of a geometry-optimized NdAg2SbS4 structure, from Alexandria.

Computed properties:
The uncorrected formation energy comes out at -0.6851 eV per atom. For the electronic total energy, the calculation gives -4.57 eV per atom.

abc: 4.065 6.668 7.100
angles: 67.79 90.00 90.00
Sites, in units of the cell vectors:
1 Sb 0.500 0.500 0.000
2 Ag 0.500 0.000 0.500
3 Ag 0.000 0.000 0.000
4 Nd 0.000 0.500 0.500
5 S 0.000 0.751 0.750
6 S 0.500 0.254 0.763
7 S 0.000 0.249 0.250
8 S 0.500 0.746 0.237

=====

(6)
The following is a PBE-GGA calculation of a geometry-optimized Ca3GaNi3 structure, from Alexandria.

Computed properties:
The calculation puts the formation energy at -201.8 kJ/mol of formula units. For the electronic total energy, the calculation gives -4.07 eV per atom.

abc: 4.078 5.670 13.168
angles: 90.00 90.00 111.08
Sites, in units of the cell vectors:
1 Ni 0.931 0.863 0.913
2 Ni 0.179 0.357 0.250
3 Ni 0.931 0.863 0.587
4 Ni 0.821 0.643 0.750
5 Ni 0.069 0.137 0.413
6 Ni 0.069 0.137 0.087
7 Ga 0.500 0.000 0.000
8 Ga 0.500 0.000 0.500
9 Ca 0.779 0.558 0.106
10 Ca 0.221 0.442 0.894
11 Ca 0.506 0.012 0.750
12 Ca 0.494 0.988 0.250
13 Ca 0.221 0.442 0.606
14 Ca 0.779 0.558 0.394

=====

no.,calculated volume (Å³ per cell)
1,672.9
2,121.2
3,81.0
4,77.6
5,178.2
6,284.2